# TaAl3V8 PBE-GGA optimized geometry
# Energy   -7.975 eV per atom
# Magnetization   0.000 μB/atom
# Energy of formation   27.4 meV per atom
# Fermi-level density of states   13.8 states/eV/cell
data_TaAl3V8
_chemical_formula_sum 'Ta1 Al3 V8'
_space_group_name_H-M_alt 'P 3 m 1'
_space_group_IT_number 156
_space_group_name_Hall 'P 3 -2"'
_cell_length_a 5.0076
_cell_length_b 5.0076
_cell_length_c 8.1097
_cell_angle_alpha 90.00
_cell_angle_beta 90.00
_cell_angle_gamma 120.00
loop_
_atom_site_label
_atom_site_type_symbol
_atom_site_fract_x
_atom_site_fract_y
_atom_site_fract_z
Ta1 Ta 0.0000 0.0000 0.0000
Al1 Al 0.0000 0.0000 0.3701
Al2 Al 0.6667 0.3333 0.5005
Al3 Al 0.6667 0.3333 0.8805
V1 V 0.1638 0.3276 0.6841
V2 V 0.3333 0.6667 0.4406
V3 V 0.3333 0.6667 0.9393
V4 V 0.5009 0.0017 0.1888

---

# TaAlV2 PBE-GGA optimized geometry
# Energy   -8.593 eV per atom
# Magnetization   0.000 μB/atom
# Energy of formation   -134.8 meV per atom
# Fermi-level density of states   2.8 states/eV/cell
data_TaAlV2
_chemical_formula_sum 'Ta1 Al1 V2'
_space_group_name_H-M_alt 'P 4/m m m'
_space_group_IT_number 123
_space_group_name_Hall '-P 4 2'
_cell_length_a 4.241
_cell_length_b 4.241
_cell_length_c 3.369
_cell_angle_alpha 90.00
_cell_angle_beta 90.00
_cell_angle_gamma 90.00
loop_
_atom_site_label
_atom_site_type_symbol
_atom_site_fract_x
_atom_site_fract_y
_atom_site_fract_z
Ta1 Ta 0.000 0.000 0.000
Al1 Al 0.500 0.500 0.000
V1 V 0.000 0.500 0.500